No. 1
CdRuF2 | PBE | relaxed

abc: 8.453 8.453 8.453
angles: 20.21 20.21 20.21
Site moments in Bohr magnetons follow the coordinates.
Fractional coordinates of all 4 atoms:
Ru  0.500  0.500  0.500  2.99
F  0.899  0.899  0.899  0.14
F  0.101  0.101  0.101  0.14
Cd  0.000  0.000  0.000  -0.06

space group: R-3m
formation energy (no corrections): -684.8 meV per atom
excess energy over the best structure of this formula in the dataset: 0.2342 eV per atom

=====

No. 2
CdRuF3 | PBE | relaxed

abc: 4.412 4.412 4.412
angles: 90.00 90.00 90.00
Site moments in Bohr magnetons follow the coordinates.
Fractional coordinates of all 5 atoms:
Ru  0.500  0.500  0.500  2.79
F  0.000  0.500  0.000  0.02
F  0.000  0.000  0.500  0.01
F  0.500  0.000  0.000  0.02
Cd  0.000  0.000  0.000  0.00

space group: Pm-3m
formation energy (no corrections): -797.4 meV per atom
excess energy over the best structure of this formula in the dataset: 0.1571 eV per atom

=====

No. 3
CdRuF3 | PBE | relaxed

abc: 4.257 4.257 4.257
angles: 90.00 90.00 90.00
Site moments in Bohr magnetons follow the coordinates.
Fractional coordinates of all 5 atoms:
Ru  0.000  0.000  0.000  1.43
F  0.000  0.500  0.000  0.03
F  0.000  0.000  0.500  0.01
F  0.500  0.000  0.000  0.03
Cd  0.500  0.500  0.500  -0.12

space group: Pm-3m
formation energy (no corrections): -954.4 meV per atom
excess energy over the best structure of this formula in the dataset: 0.0000 eV per atom

=====

No. 4
CdRuF2 | PBE | relaxed

abc: 8.518 8.518 8.518
angles: 19.16 19.16 19.16
Site moments in Bohr magnetons follow the coordinates.
Fractional coordinates of all 4 atoms:
Ru  0.000  0.000  0.000  1.00
F  0.922  0.922  0.922  0.06
F  0.078  0.078  0.078  0.06
Cd  0.500  0.500  0.500  -0.01

space group: R-3m
formation energy (no corrections): -919.0 meV per atom
excess energy over the best structure of this formula in the dataset: 0.0000 eV per atom

=====

No. 5
CdSnRuF2 | PBE | relaxed

abc: 4.178 5.702 4.178
angles: 90.00 90.00 90.00
Site moments in Bohr magnetons follow the coordinates.
Fractional coordinates of all 5 atoms:
Ru  0.000  0.000  0.000  1.09
F  0.000  0.000  0.500  0.03
F  0.500  0.000  0.000  0.06
Sn  0.500  0.500  0.500  -0.01
Cd  0.000  0.500  0.000  -0.02

space group: P4/mmm
formation energy (no corrections): -444.1 meV per atom

=====

No. 6
TlCdRuF6 | PBE | relaxed

abc: 7.700 7.711 7.756
angles: 119.81 119.76 90.00
Site moments in Bohr magnetons follow the coordinates.
Fractional coordinates of all 18 atoms:
Tl  0.904  0.654  0.808  0.00
Tl  0.096  0.346  0.192  0.00
Cd  0.500  0.000  0.500  0.00
Cd  0.000  0.000  0.500  0.00
Ru  0.500  0.500  0.000  0.83
Ru  0.500  0.000  0.000  0.83
F  0.445  0.695  0.890  0.04
F  0.852  0.102  0.705  0.00
F  0.814  0.096  0.245  0.02
F  0.431  0.649  0.245  0.02
F  0.431  0.096  0.245  0.02
F  0.814  0.649  0.245  0.02
F  0.555  0.305  0.110  0.04
F  0.148  0.898  0.295  0.00
F  0.186  0.904  0.755  0.02
F  0.569  0.351  0.755  0.02
F  0.569  0.904  0.755  0.02
F  0.186  0.351  0.755  0.02

space group: Imma
formation energy (no corrections): -1824.3 meV per atom

=====

No. 7
ZnCdRu2F | PBE | relaxed

abc: 5.092 4.917 5.092
angles: 90.00 90.00 90.00
Site moments in Bohr magnetons follow the coordinates.
Fractional coordinates of all 5 atoms:
Ru  0.000  0.000  0.500  2.32
Ru  0.500  0.000  0.000  2.06
Zn  0.000  0.500  0.000  0.02
F  0.500  0.500  0.500  0.10
Cd  0.000  0.000  0.000  -0.02

space group: P4/mmm
formation energy (no corrections): 1562.5 meV per atom

=====

No. 8
CdSF3 | PBE | relaxed

abc: 4.312 4.312 4.312
angles: 90.00 90.00 90.00
Fractional coordinates of all 5 atoms:
S  0.000  0.000  0.000
F  0.000  0.500  0.000
F  0.000  0.000  0.500
F  0.500  0.000  0.000
Cd  0.500  0.500  0.500

space group: Pm-3m
formation energy (no corrections): -625.4 meV per atom
excess energy over the best structure of this formula in the dataset: 0.3388 eV per atom